Record 1
Density functional theory data (GGA-PBE) for a geometry-optimized CsC structure.

abc: 3.2589 3.2589 10.3554
angles: 90.00 90.00 90.00
With the nearest neighbours (Å) after each atom.
Fractional positions:
Cs  0.0000  0.0000  0.6285  1 C 2.82
C  0.5000  0.5000  0.8488  4 C 2.37
C  0.0000  0.0000  0.9012  4 C 2.37
Cs  0.5000  0.5000  0.1215  1 C 2.82

Properties
DFT total energy ... -2.5537 eV per atom
Mass density ... 4.376 g/cm³
Fermi-level density of states ... 2.3 states/eV per cell
Magnetic moment ... 0.00 μB per cell

=====

Record 2
Density functional theory data (GGA-PBE) for a geometry-optimized BaTh3P4 structure.

abc: 4.2186 4.2186 28.3339
angles: 90.00 90.00 120.00
With the nearest neighbours (Å) after each atom.
Fractional positions:
Ba  0.6667  0.3333  0.7500  6 P 3.26
P  0.0000  0.0000  0.6737  3 Th 2.90
Th  0.0000  0.0000  0.0000  6 P 2.95
Th  0.0000  0.0000  0.5000  6 P 2.95
P  0.6667  0.3333  0.5590  6 Th 2.95-2.96
Th  0.6667  0.3333  0.1183  6 P 2.90-2.96
Th  0.3333  0.6667  0.6183  6 P 2.90-2.96
P  0.6667  0.3333  0.9410  6 Th 2.95-2.96
Th  0.6667  0.3333  0.3817  6 P 2.90-2.96
P  0.0000  0.0000  0.8263  3 Th 2.90
P  0.0000  0.0000  0.3263  3 Th 2.90
Th  0.3333  0.6667  0.8817  6 P 2.90-2.96
P  0.3333  0.6667  0.4410  6 Th 2.95-2.96
P  0.3333  0.6667  0.0590  6 Th 2.95-2.96
P  0.0000  0.0000  0.1737  3 Th 2.90
Ba  0.3333  0.6667  0.2500  6 P 3.26

Properties
DFT total energy ... -7.1595 eV per atom
Mass density ... 7.281 g/cm³
Fermi-level density of states ... 7.0 states/eV per cell
Magnetic moment ... 0.00 μB per cell

=====

Record 3
Density functional theory data (GGA-PBE) for a geometry-optimized BaZnRh4 structure.

abc: 5.4061 5.4061 5.4061
angles: 60.00 60.00 60.00
With the nearest neighbours (Å) after each atom.
Fractional positions:
Rh  0.3761  0.3761  0.8716  6 Rh 2.68-2.73
Ba  0.0000  0.0000  0.0000  12 Rh 3.17, 4 Zn 3.31
Rh  0.8716  0.3761  0.3761  6 Rh 2.68-2.73
Zn  0.7500  0.7500  0.7500  12 Rh 3.17, 4 Ba 3.31
Rh  0.3761  0.3761  0.3761  6 Rh 2.68-2.73
Rh  0.3761  0.8716  0.3761  6 Rh 2.68-2.73

Properties
DFT total energy ... -5.2951 eV per atom
Mass density ... 9.131 g/cm³
Fermi-level density of states ... 9.9 states/eV per cell
Magnetic moment ... 0.28 μB per cell

=====

Record 4
Density functional theory data (GGA-PBE) for a geometry-optimized PaTi2Os structure.

abc: 3.0857 3.0857 7.6444
angles: 90.00 90.00 90.00
With the nearest neighbours (Å) after each atom.
Fractional positions:
Os  0.5000  0.5000  0.0000  8 Ti 2.67
Pa  0.5000  0.5000  0.5000  4 Pa 3.09, 8 Ti 3.16
Ti  0.0000  0.0000  0.7998  4 Os 2.67
Ti  0.0000  0.0000  0.2002  4 Os 2.67

Properties
DFT total energy ... -9.3773 eV per atom
Mass density ... 11.794 g/cm³
Fermi-level density of states ... 8.0 states/eV per cell
Magnetic moment ... 0.75 μB per cell

=====

Record 5
Density functional theory data (GGA-PBE) for a geometry-optimized PmHo3Pd12 structure.

abc: 4.1252 4.1252 16.5807
angles: 90.00 90.00 90.00
With the nearest neighbours (Å) after each atom.
Fractional positions:
Pd  0.5000  0.0000  0.6239  4 Ho 2.90-2.91, 8 Pd 2.91-2.92
Pd  0.0000  0.5000  0.1289  8 Pd 2.90-2.97, 2 Ho 2.91, 2 Pm 2.97
Pd  0.5000  0.0000  0.8711  8 Pd 2.90-2.97, 2 Ho 2.91, 2 Pm 2.97
Pd  0.0000  0.5000  0.6239  4 Ho 2.90-2.91, 8 Pd 2.91-2.92
Pm  0.0000  0.0000  0.0000  12 Pd 2.92-2.97
Pd  0.0000  0.5000  0.8711  8 Pd 2.90-2.97, 2 Ho 2.91, 2 Pm 2.97
Ho  0.0000  0.0000  0.2528  12 Pd 2.90-2.92
Ho  0.0000  0.0000  0.5000  12 Pd 2.91-2.92
Pd  0.5000  0.0000  0.3761  4 Ho 2.90-2.91, 8 Pd 2.91-2.92
Pd  0.5000  0.5000  0.2521  8 Pd 2.90-2.91, 4 Ho 2.92
Pd  0.5000  0.0000  0.1289  8 Pd 2.90-2.97, 2 Ho 2.91, 2 Pm 2.97
Pd  0.5000  0.5000  0.7479  8 Pd 2.90-2.91, 4 Ho 2.92
Pd  0.0000  0.5000  0.3761  4 Ho 2.90-2.91, 8 Pd 2.91-2.92
Ho  0.0000  0.0000  0.7472  12 Pd 2.90-2.92
Pd  0.5000  0.5000  0.5000  8 Pd 2.91, 4 Ho 2.92
Pd  0.5000  0.5000  0.0000  4 Pm 2.92, 8 Pd 2.97

Properties
DFT total energy ... -5.9141 eV per atom
Mass density ... 11.281 g/cm³
Fermi-level density of states ... 11.9 states/eV per cell
Magnetic moment ... 0.00 μB per cell

=====

Record 6
Density functional theory data (GGA-PBE) for a geometry-optimized CuCl2F structure.

abc: 3.3787 3.9001 6.4240
angles: 107.86 105.30 90.00
With the nearest neighbours (Å) after each atom.
Fractional positions:
Cl  0.1367  0.1467  0.2728  2 Cu 2.33
F  0.5000  0.5090  0.0000  2 Cu 1.95
Cu  0.5000  0.0091  0.0000  2 F 1.95
Cl  0.8632  0.8713  0.7272  2 Cu 2.33

Properties
Energy relative to the elements, uncorrected ... -0.631 eV/atom
Mass density ... 3.291 g/cm³
Fermi-level density of states ... 2.5 states/eV per cell
Magnetic moment ... 1.04 μB per cell

=====

Record 7
Density functional theory data (GGA-PBE) for a geometry-optimized MnTe2IrN structure.

abc: 5.5408 5.5408 3.6578
angles: 90.00 90.00 90.00
With the nearest neighbours (Å) after each atom.
Fractional positions:
Te  0.0000  0.5000  0.0000  2 Ir 2.77
Mn  0.5000  0.5000  0.5000  8 Te 3.32, 2 Mn 3.66
N  0.0000  0.0000  0.5000  2 Ir 1.83
Te  0.5000  0.0000  0.0000  2 Ir 2.77
Ir  0.0000  0.0000  0.0000  2 N 1.83

Properties
Energy relative to the elements, uncorrected ... 0.447 eV/atom
Mass density ... 7.636 g/cm³
Fermi-level density of states ... 3.0 states/eV per cell
Magnetic moment ... 4.57 μB per cell

=====

Record 8
Density functional theory data (GGA-PBE) for a geometry-optimized MgSbBr2 structure.

abc: 3.5455 3.5455 8.8977
angles: 90.00 90.00 90.00
With the nearest neighbours (Å) after each atom.
Fractional positions:
Br  0.5000  0.5000  0.3352  4 Mg 2.90
Mg  0.0000  0.0000  0.4982  4 Br 2.90, 4 Sb 3.23
Br  0.0000  0.0000  0.9397  4 Sb 3.14
Sb  0.5000  0.5000  0.7269  5 Br 3.14-3.49, 4 Mg 3.23

Properties
Energy relative to the elements, uncorrected ... -0.450 eV/atom
Mass density ... 4.541 g/cm³
Fermi-level density of states ... 0.9 states/eV per cell
Magnetic moment ... 0.00 μB per cell

=====

The lowest mass density belongs to which entry?
CuCl2F

=====

Which of these has the highest mass density?
PaTi2Os

=====

magnetic moment of number 1 (CsC)?
0.00 μB per cell

=====

Among the records above, which one has the highest mass density?
PaTi2Os